[1]
First-principles (PBE) data for a relaxed structure of Ca2NbCo2, as listed in Alexandria.

Values from the calculation:
ΔH_f (0 K): 0.792 eV/atom
Total energy: -48.7 eV for the cell shown

POSCAR file:
```
Ca2NbCo2
1.0
8.0623 0.0000 0.0000
0.0000 8.0623 0.0000
0.0000 0.0000 2.8347
Ca Nb Co
4 2 4
Direct
0.3710 0.8710 0.0000
0.1290 0.3710 0.0000
0.8710 0.6290 0.0000
0.6290 0.1290 0.0000
0.0000 0.0000 0.0000
0.5000 0.5000 0.0000
0.3209 0.1791 0.5000
0.1791 0.6791 0.5000
0.6791 0.8209 0.5000
0.8209 0.3209 0.5000
```



[2]
First-principles (PBE) data for a relaxed structure of CaNb3Co, as listed in Alexandria.

Values from the calculation:
ΔH_f (0 K): 0.662 eV/atom
Total energy: -36.0 eV for the cell shown

POSCAR file:
```
CaNb3Co
1.0
4.7411 0.0000 0.0000
0.0000 4.7411 0.0000
0.0000 0.0000 4.7411
Nb Co Ca
3 1 1
Direct
0.5000 0.0000 0.0000
0.0000 0.5000 0.0000
0.0000 0.0000 0.5000
0.0000 0.0000 0.0000
0.5000 0.5000 0.5000
```



What did the second record say?
First-principles (PBE) data for a relaxed structure of CaNb3Co, as listed in Alexandria.

Values from the calculation:
ΔH_f (0 K): 0.662 eV/atom
Total energy: -36.0 eV for the cell shown

POSCAR file:
```
CaNb3Co
1.0
4.7411 0.0000 0.0000
0.0000 4.7411 0.0000
0.0000 0.0000 4.7411
Nb Co Ca
3 1 1
Direct
0.5000 0.0000 0.0000
0.0000 0.5000 0.0000
0.0000 0.0000 0.5000
0.0000 0.0000 0.0000
0.5000 0.5000 0.5000
```



Repeat the first record exactly.
First-principles (PBE) data for a relaxed structure of Ca2NbCo2, as listed in Alexandria.

Values from the calculation:
ΔH_f (0 K): 0.792 eV/atom
Total energy: -48.7 eV for the cell shown

POSCAR file:
```
Ca2NbCo2
1.0
8.0623 0.0000 0.0000
0.0000 8.0623 0.0000
0.0000 0.0000 2.8347
Ca Nb Co
4 2 4
Direct
0.3710 0.8710 0.0000
0.1290 0.3710 0.0000
0.8710 0.6290 0.0000
0.6290 0.1290 0.0000
0.0000 0.0000 0.0000
0.5000 0.5000 0.0000
0.3209 0.1791 0.5000
0.1791 0.6791 0.5000
0.6791 0.8209 0.5000
0.8209 0.3209 0.5000
```



Please write out number 1 again, unchanged.
First-principles (PBE) data for a relaxed structure of Ca2NbCo2, as listed in Alexandria.

Values from the calculation:
ΔH_f (0 K): 0.792 eV/atom
Total energy: -48.7 eV for the cell shown

POSCAR file:
```
Ca2NbCo2
1.0
8.0623 0.0000 0.0000
0.0000 8.0623 0.0000
0.0000 0.0000 2.8347
Ca Nb Co
4 2 4
Direct
0.3710 0.8710 0.0000
0.1290 0.3710 0.0000
0.8710 0.6290 0.0000
0.6290 0.1290 0.0000
0.0000 0.0000 0.0000
0.5000 0.5000 0.0000
0.3209 0.1791 0.5000
0.1791 0.6791 0.5000
0.6791 0.8209 0.5000
0.8209 0.3209 0.5000
```